1.
Here is a geometry-optimized Tb2AlCu7 structure from the Alexandria database. Energies are from PBE.

Lattice parameters (Å, degrees): 3.8309 3.8309 11.1649 90.00 90.00 90.00
Closest atoms and distances in Å follow each position.
Sites, in units of the cell vectors:
Cu 0.5000 0.0000 0.1447  3 Cu 2.43-2.51, 2 Al 2.51
Cu 0.5000 0.0000 0.3628  5 Cu 2.43-2.45
Cu 0.5000 0.5000 0.5000  8 Cu 2.45-2.71
Cu 0.0000 0.0000 0.0000  4 Cu 2.51, 4 Al 2.71
Cu 0.0000 0.0000 0.5000  8 Cu 2.45-2.71
Cu 0.0000 0.5000 0.6372  5 Cu 2.43-2.45
Cu 0.0000 0.5000 0.8553  3 Cu 2.43-2.51, 2 Al 2.51
Al 0.5000 0.5000 0.0000  8 Cu 2.51-2.71
Tb 0.5000 0.0000 0.7451  8 Cu 2.96-2.98
Tb 0.0000 0.5000 0.2549  8 Cu 2.96-2.98

As for the total magnetic moment: 0.00 μB/f.u. The value obtained for the total energy is -4.370 eV per atom. For the density, the calculation gives 8.00 Mg/m³. The energy relative to the elements is -202 meV per atom.



2.
Here is a geometry-optimized Tb3Al2Cu structure from the Alexandria database. Energies are from PBE.

Lattice parameters (Å, degrees): 3.4456 3.4456 11.5612 90.00 90.00 90.00
Closest atoms and distances in Å follow each position.
Sites, in units of the cell vectors:
Tb 0.0000 0.0000 0.3465  4 Cu 3.01, 4 Al 3.14
Tb 0.0000 0.0000 0.6535  4 Cu 3.01, 4 Al 3.14
Tb 0.0000 0.0000 0.0000  8 Al 3.16, 4 Tb 3.45
Al 0.5000 0.5000 0.8253  8 Tb 3.14-3.16, 4 Al 3.45
Al 0.5000 0.5000 0.1747  8 Tb 3.14-3.16, 4 Al 3.45
Cu 0.5000 0.5000 0.5000  8 Tb 3.01

As for the total magnetic moment: 0.00 μB/f.u. The value obtained for the total energy is -4.586 eV per atom. For the density, the calculation gives 7.19 Mg/m³. The energy relative to the elements is -341 meV per atom.



3.
Here is a geometry-optimized Tb7Al2Cu2 structure from the Alexandria database. Energies are from PBE.

Lattice parameters (Å, degrees): 6.7692 6.9562 6.7692 90.00 109.16 90.00
Closest atoms and distances in Å follow each position.
Sites, in units of the cell vectors:
Tb 0.5000 0.7483 0.5000  2 Cu 2.86, 2 Al 3.14
Tb 0.5000 0.7370 0.0000  2 Cu 2.73
Tb 0.0000 0.0000 0.0000  2 Cu 3.25
Tb 0.0000 0.2630 0.5000  2 Cu 2.73
Tb 0.0000 0.7370 0.5000  2 Cu 2.73
Tb 0.5000 0.2517 0.5000  2 Cu 2.86, 2 Al 3.14
Tb 0.5000 0.2630 0.0000  2 Cu 2.73
Al 0.8344 0.5000 0.8344  1 Al 2.60
Al 0.1656 0.5000 0.1656  1 Al 2.60
Cu 0.2947 0.0000 0.7053  6 Tb 2.73-2.86
Cu 0.7053 0.0000 0.2947  6 Tb 2.73-2.86

As for the total magnetic moment: 0.00 μB/f.u. The value obtained for the total energy is -4.398 eV per atom. For the density, the calculation gives 7.13 Mg/m³. The energy relative to the elements is -27 meV per atom.



4.
Here is a geometry-optimized Tb4AlCu3 structure from the Alexandria database. Energies are from PBE.

Lattice parameters (Å, degrees): 3.6718 4.4856 10.9439 90.00 90.00 90.00
Closest atoms and distances in Å follow each position.
Sites, in units of the cell vectors:
Tb 0.0000 0.0000 0.1546  4 Al 3.05, 3 Cu 3.06-3.07
Tb 0.5000 0.5000 0.3644  6 Cu 2.89-3.00
Tb 0.0000 0.5000 0.8425  5 Cu 3.00-3.05, 2 Al 3.07
Tb 0.5000 0.0000 0.6382  7 Cu 2.89-3.20
Cu 0.0000 0.0000 0.4340  2 Cu 2.68, 6 Tb 2.89-3.00
Cu 0.5000 0.0000 0.9302  2 Al 2.70
Cu 0.0000 0.5000 0.5685  2 Cu 2.68, 7 Tb 2.89-3.00
Al 0.5000 0.5000 0.0675  2 Cu 2.70

As for the total magnetic moment: 0.00 μB/f.u. The value obtained for the total energy is -4.570 eV per atom. For the density, the calculation gives 7.86 Mg/m³. The energy relative to the elements is -251 meV per atom.



5.
Here is a geometry-optimized Tb2Al5Cu structure from the Alexandria database. Energies are from PBE.

Lattice parameters (Å, degrees): 6.0070 6.0070 6.0070 89.95 120.03 120.03
Closest atoms and distances in Å follow each position.
Sites, in units of the cell vectors:
Al 0.0000 0.2775 0.2775  4 Tb 3.00, 8 Al 3.00
Al 0.4997 0.7777 0.7777  2 Cu 3.00-3.01, 6 Al 3.00, 4 Tb 3.00
Al 0.5003 0.2780 0.2780  2 Cu 3.00-3.01, 6 Al 3.00, 4 Tb 3.00
Al 0.0000 0.2780 0.7777  2 Cu 3.00-3.01, 6 Al 3.00, 4 Tb 3.00
Al 0.0000 0.7777 0.2780  2 Cu 3.00-3.01, 6 Al 3.00, 4 Tb 3.00
Tb 0.5000 0.2779 0.7779  10 Al 3.00, 2 Cu 3.00
Tb 0.5000 0.7779 0.2779  10 Al 3.00, 2 Cu 3.00
Cu 0.0000 0.7773 0.7773  8 Al 3.00-3.01, 4 Tb 3.00

As for the total magnetic moment: 0.00 μB/f.u. The value obtained for the total energy is -4.361 eV per atom. For the density, the calculation gives 5.60 Mg/m³. The energy relative to the elements is -352 meV per atom.



6.
Here is a geometry-optimized TbAl11Cu structure from the Alexandria database. Energies are from PBE.

Lattice parameters (Å, degrees): 5.2353 7.1715 6.8246 83.05 67.45 71.61
Closest atoms and distances in Å follow each position.
Sites, in units of the cell vectors:
Al 0.0000 0.5000 0.0000  2 Cu 2.62, 8 Al 2.72-2.73
Al 0.0000 0.0000 0.5000  8 Al 2.62-2.86
Al 0.6532 0.3541 0.3526  8 Al 2.72-3.00, 1 Cu 2.81
Al 0.5030 0.2255 0.7848  1 Cu 2.59, 6 Al 2.68-2.86
Al 0.0058 0.3541 0.6474  8 Al 2.72-3.00, 1 Cu 2.81
Al 0.3468 0.6459 0.6474  8 Al 2.72-3.00, 1 Cu 2.81
Al 0.2877 0.2255 0.2152  1 Cu 2.59, 6 Al 2.68-2.86
Al 0.7123 0.7745 0.7848  1 Cu 2.59, 6 Al 2.68-2.86
Al 0.5000 0.0000 0.5000  8 Al 2.62-2.86
Al 0.9942 0.6459 0.3526  8 Al 2.72-3.00, 1 Cu 2.81
Al 0.4970 0.7745 0.2152  1 Cu 2.59, 6 Al 2.68-2.86
Cu 0.5000 0.5000 0.0000  10 Al 2.59-2.81
Tb 0.0000 0.0000 0.0000  18 Al 3.28-3.59

As for the total magnetic moment: 0.00 μB/f.u. The value obtained for the total energy is -3.950 eV per atom. For the density, the calculation gives 3.84 Mg/m³. The energy relative to the elements is -112 meV per atom.



7.
Here is a geometry-optimized Tb2Al5Cu12 structure from the Alexandria database. Energies are from PBE.

Lattice parameters (Å, degrees): 6.5878 6.5878 6.5878 82.55 82.55 82.55
Closest atoms and distances in Å follow each position.
Sites, in units of the cell vectors:
Cu 0.0000 0.7048 0.2952  2 Al 2.51, 6 Cu 2.57-2.67
Cu 0.7048 0.0000 0.2952  2 Al 2.51, 6 Cu 2.57-2.67
Cu 0.2952 0.7048 0.0000  2 Al 2.51, 6 Cu 2.57-2.67
Cu 0.3479 0.8491 0.3479  3 Al 2.51-2.72, 6 Cu 2.54-2.67
Cu 0.6521 0.1509 0.6521  3 Al 2.51-2.72, 6 Cu 2.54-2.67
Cu 0.7048 0.2952 0.0000  2 Al 2.51, 6 Cu 2.57-2.67
Cu 0.6521 0.6521 0.1509  3 Al 2.51-2.72, 6 Cu 2.54-2.67
Cu 0.8491 0.3479 0.3479  3 Al 2.51-2.72, 6 Cu 2.54-2.67
Cu 0.2952 0.0000 0.7048  2 Al 2.51, 6 Cu 2.57-2.67
Cu 0.3479 0.3479 0.8491  3 Al 2.51-2.72, 6 Cu 2.54-2.67
Cu 0.0000 0.2952 0.7048  2 Al 2.51, 6 Cu 2.57-2.67
Cu 0.1509 0.6521 0.6521  3 Al 2.51-2.72, 6 Cu 2.54-2.67
Al 0.5000 0.0000 0.0000  8 Cu 2.51, 2 Al 2.66
Al 0.9017 0.9017 0.9017  4 Al 2.52-2.66, 3 Cu 2.72
Al 0.0000 0.5000 0.0000  8 Cu 2.51, 2 Al 2.66
Al 0.0000 0.0000 0.5000  8 Cu 2.51, 2 Al 2.66
Al 0.0983 0.0983 0.0983  4 Al 2.52-2.66, 3 Cu 2.72
Tb 0.6528 0.6528 0.6528  15 Cu 3.07-3.31, 4 Al 3.19-3.41
Tb 0.3472 0.3472 0.3472  15 Cu 3.07-3.31, 4 Al 3.19-3.41

As for the total magnetic moment: 0.00 μB/f.u. The value obtained for the total energy is -4.327 eV per atom. For the density, the calculation gives 7.23 Mg/m³. The energy relative to the elements is -268 meV per atom.



8.
Here is a geometry-optimized TbAl2Cu3 structure from the Alexandria database. Energies are from PBE.

Lattice parameters (Å, degrees): 5.3040 5.3040 7.9556 90.00 90.00 120.00
Closest atoms and distances in Å follow each position.
Sites, in units of the cell vectors:
Cu 0.5001 0.0000 0.2500  4 Al 2.51, 4 Cu 2.65
Cu 0.4999 0.0000 0.7500  4 Al 2.51, 4 Cu 2.65
Cu 0.4999 0.4999 0.2500  4 Al 2.51, 4 Cu 2.65
Cu 0.0000 0.4999 0.7500  4 Al 2.51, 4 Cu 2.65
Cu 0.0000 0.5001 0.2500  4 Al 2.51, 4 Cu 2.65
Cu 0.5001 0.5001 0.7500  4 Al 2.51, 4 Cu 2.65
Tb 0.0000 0.0000 0.5000  6 Al 3.06, 12 Cu 3.31-3.32
Tb 0.0000 0.0000 0.0000  6 Al 3.06, 12 Cu 3.31-3.32
Al 0.6667 0.3333 0.0000  6 Cu 2.51
Al 0.6667 0.3333 0.5000  6 Cu 2.51
Al 0.3333 0.6667 0.0000  6 Cu 2.51
Al 0.3333 0.6667 0.5000  6 Cu 2.51

As for the total magnetic moment: 0.00 μB/f.u. The value obtained for the total energy is -4.407 eV per atom. For the density, the calculation gives 6.91 Mg/m³. The energy relative to the elements is -340 meV per atom.



Copy entry 3 word for word.
Here is a geometry-optimized Tb7Al2Cu2 structure from the Alexandria database. Energies are from PBE.

Lattice parameters (Å, degrees): 6.7692 6.9562 6.7692 90.00 109.16 90.00
Closest atoms and distances in Å follow each position.
Sites, in units of the cell vectors:
Tb 0.5000 0.7483 0.5000  2 Cu 2.86, 2 Al 3.14
Tb 0.5000 0.7370 0.0000  2 Cu 2.73
Tb 0.0000 0.0000 0.0000  2 Cu 3.25
Tb 0.0000 0.2630 0.5000  2 Cu 2.73
Tb 0.0000 0.7370 0.5000  2 Cu 2.73
Tb 0.5000 0.2517 0.5000  2 Cu 2.86, 2 Al 3.14
Tb 0.5000 0.2630 0.0000  2 Cu 2.73
Al 0.8344 0.5000 0.8344  1 Al 2.60
Al 0.1656 0.5000 0.1656  1 Al 2.60
Cu 0.2947 0.0000 0.7053  6 Tb 2.73-2.86
Cu 0.7053 0.0000 0.2947  6 Tb 2.73-2.86

As for the total magnetic moment: 0.00 μB/f.u. The value obtained for the total energy is -4.398 eV per atom. For the density, the calculation gives 7.13 Mg/m³. The energy relative to the elements is -27 meV per atom.